RbHg2Mo | Alexandria via LeMat-Bulk | PBE-GGA | relaxed; DOS(E_F) = 0.91 states/eV/atom; E above lowest polymorph = 0 meV per atom; crystal system = tetragonal; formation energy from the elements = 0.84 eV/atom; size of the total moment = 0.9479 μB/atom
1.0
5.8817 0.0000 0.0000
0.0000 5.8817 0.0000
2.9408 2.9408 9.5321
Hg Rb Mo
4 2 2
Direct
0.8480 0.1250 0.2500
0.3750 0.1520 0.7500
0.9020 0.6250 0.2500
0.8750 0.0980 0.7500
0.2500 0.7500 0.5000
0.5000 0.5000 0.0000
0.7500 0.2500 0.5000
0.0000 0.0000 0.0000